# Ca2ZrOs

A PBEsol-optimized structure of Ca2ZrOs (meta-GGA SCAN, Alexandria via LeMat-Bulk).

a b c (Å): 3.014 3.014 10.030
angles (deg): 90.00 90.00 90.00
Element x y z (fractional)
Ca 0.000 0.000 0.205
Ca 0.000 0.000 0.795
Zr 0.500 0.500 0.500
Os 0.500 0.500 0.000

Summary:
* electronic total energy: -29.873 eV per atom
* volume: 22.8 A^3/atom
* N(E_F): 3.69 states/eV per cell
* SG: No. 123
* excess energy over the best structure of this formula in the dataset: 501.6 meV per atom
* formation energy from the elements: 0.60 eV per atom

# CaP3

A PBEsol-optimized structure of CaP3 (meta-GGA SCAN, Alexandria via LeMat-Bulk).

a b c (Å): 5.447 5.579 5.587
angles (deg): 79.11 72.44 72.82
Element x y z (fractional)
Ca 0.149 0.164 0.161
Ca 0.851 0.836 0.839
P 0.293 0.500 0.501
P 0.307 0.099 0.620
P 0.309 0.623 0.100
P 0.691 0.377 0.900
P 0.693 0.901 0.380
P 0.707 0.500 0.499

Summary:
* electronic total energy: -10.938 eV per atom
* volume: 19.2 A^3/atom
* N(E_F): 0.23 states/eV per cell
* SG: No. 2
* formation energy from the elements: -0.72 eV per atom

# CaP3

A PBEsol-optimized structure of CaP3 (meta-GGA SCAN, Alexandria via LeMat-Bulk).

a b c (Å): 4.032 4.032 4.141
angles (deg): 90.00 90.00 90.00
Element x y z (fractional)
Ca 0.000 0.000 0.000
P 0.000 0.500 0.500
P 0.500 0.000 0.500
P 0.500 0.500 0.000

Summary:
* electronic total energy: -10.261 eV per atom
* volume: 16.8 A^3/atom
* N(E_F): 1.51 states/eV per cell
* SG: No. 123
* formation energy from the elements: -0.05 eV per atom

# Ca3P

A PBEsol-optimized structure of Ca3P (meta-GGA SCAN, Alexandria via LeMat-Bulk).

a b c (Å): 4.097 4.097 29.796
angles (deg): 90.00 90.00 120.00
Element x y z (fractional)
Ca 0.000 0.000 0.000
Ca 0.000 0.000 0.216
Ca 0.000 0.000 0.784
Ca 0.333 0.667 0.451
Ca 0.333 0.667 0.667
Ca 0.333 0.667 0.883
Ca 0.667 0.333 0.117
Ca 0.667 0.333 0.333
Ca 0.667 0.333 0.549
P 0.000 0.000 0.500
P 0.333 0.667 0.167
P 0.667 0.333 0.833

Summary:
* electronic total energy: -10.547 eV per atom
* volume: 36.1 A^3/atom
* N(E_F): 8.56 states/eV per cell
* SG: No. 166
* excess energy over the best structure of this formula in the dataset: 25.9 meV per atom
* formation energy from the elements: -0.70 eV per atom

# Ca2P

A PBEsol-optimized structure of Ca2P (meta-GGA SCAN, Alexandria via LeMat-Bulk).

a b c (Å): 6.648 6.684 4.191
angles (deg): 90.00 90.00 90.00
Element x y z (fractional)
Ca 0.213 0.188 0.000
Ca 0.287 0.688 0.500
Ca 0.713 0.312 0.500
Ca 0.787 0.812 0.000
P 0.000 0.000 0.500
P 0.500 0.500 0.000

Summary:
* electronic total energy: -10.907 eV per atom
* volume: 31.0 A^3/atom
* N(E_F): 1.71 states/eV per cell
* SG: No. 58
* formation energy from the elements: -1.00 eV per atom

# Ca2P

A PBEsol-optimized structure of Ca2P (meta-GGA SCAN, Alexandria via LeMat-Bulk).

a b c (Å): 7.203 4.158 7.119
angles (deg): 90.00 109.59 90.00
Element x y z (fractional)
Ca 0.238 0.000 0.216
Ca 0.262 0.500 0.784
Ca 0.738 0.500 0.216
Ca 0.762 0.000 0.784
P 0.000 0.500 0.000
P 0.500 0.000 0.000

Summary:
* electronic total energy: -10.904 eV per atom
* volume: 33.5 A^3/atom
* N(E_F): 2.09 states/eV per cell
* SG: No. 12
* formation energy from the elements: -1.00 eV per atom